<P>
VASP calculation (PBE-GGA) on a relaxed Pr2Hg3Rh2 crystal.

The structure in CIF format:
```
data_Pr2Hg3Rh2
_space_group_name_H-M_alt 'P 1 2/m 1'
_space_group_IT_number 10
_cell_length_a 3.8944
_cell_length_b 4.0631
_cell_length_c 11.9138
_cell_angle_alpha 90.00
_cell_angle_beta 99.51
_cell_angle_gamma 90.00
loop_
_space_group_symop_operation_xyz
'x,y,z'
'-x,-y,-z'
'-x,y,-z'
'x,-y,z'
loop_
_atom_site_label
_atom_site_type_symbol
_atom_site_fract_x
_atom_site_fract_y
_atom_site_fract_z
Pr1 Pr 0.0887 0.0000 0.1779
Hg1 Hg 0.2040 0.5000 0.4082
Hg2 Hg 0.5000 0.5000 0.0000
Rh1 Rh 0.3830 0.5000 0.7648
```


<Q>
VASP calculation (PBE-GGA) on a relaxed Pr2Hg3Rh2 crystal.

The structure in CIF format:
```
data_Pr2Hg3Rh2
_space_group_name_H-M_alt 'C m m m'
_space_group_IT_number 65
_space_group_name_Hall '-C 2 2'
_cell_length_a 4.1220
_cell_length_b 20.7796
_cell_length_c 3.9574
_cell_angle_alpha 90.00
_cell_angle_beta 90.00
_cell_angle_gamma 90.00
loop_
_atom_site_label
_atom_site_type_symbol
_atom_site_fract_x
_atom_site_fract_y
_atom_site_fract_z
Pr1 Pr 0.0000 0.1703 0.0000
Hg1 Hg 0.0000 0.0000 0.0000
Hg2 Hg 0.0000 0.4274 0.5000
Rh1 Rh 0.0000 0.2938 0.5000
```


Best to worst by energy: <Q>, <P>.


<P>
VASP calculation (PBE-GGA) on a relaxed Pr4Hg2Ru crystal.

The structure in CIF format:
```
data_Pr4Hg2Ru
_space_group_name_H-M_alt 'P 1 21/m 1'
_space_group_IT_number 11
_cell_length_a 6.1864
_cell_length_b 6.6994
_cell_length_c 10.2839
_cell_angle_alpha 90.00
_cell_angle_beta 103.08
_cell_angle_gamma 90.00
loop_
_space_group_symop_operation_xyz
'x,y,z'
'-x,-y,-z'
'-x,y+1/2,-z'
'x,-y+1/2,z'
loop_
_atom_site_label
_atom_site_type_symbol
_atom_site_fract_x
_atom_site_fract_y
_atom_site_fract_z
Pr1 Pr 0.1657 0.2500 0.0936
Pr2 Pr 0.2571 0.0050 0.7472
Pr3 Pr 0.2922 0.7500 0.4277
Hg1 Hg 0.1645 0.2500 0.4429
Hg2 Hg 0.3765 0.7500 0.0216
Ru1 Ru 0.0608 0.7500 0.1762
```


<Q>
VASP calculation (PBE-GGA) on a relaxed Pr4Hg2Ru crystal.

The structure in CIF format:
```
data_Pr4Hg2Ru
_space_group_name_H-M_alt 'C 1 2/m 1'
_space_group_IT_number 12
_cell_length_a 11.4311
_cell_length_b 4.7256
_cell_length_c 8.8820
_cell_angle_alpha 90.00
_cell_angle_beta 120.21
_cell_angle_gamma 90.00
loop_
_space_group_symop_operation_xyz
'x,y,z'
'-x,-y,-z'
'-x,y,-z'
'x,-y,z'
'x+1/2,y+1/2,z'
'-x+1/2,-y+1/2,-z'
'-x+1/2,y+1/2,-z'
'x+1/2,-y+1/2,z'
loop_
_atom_site_label
_atom_site_type_symbol
_atom_site_fract_x
_atom_site_fract_y
_atom_site_fract_z
Pr1 Pr 0.0695 0.0000 0.3480
Pr2 Pr 0.1696 0.5000 0.0611
Hg1 Hg 0.1471 0.5000 0.6683
Ru1 Ru 0.0000 0.0000 0.0000
```


<R>
VASP calculation (PBE-GGA) on a relaxed Pr4Hg2Ru crystal.

The structure in CIF format:
```
data_Pr4Hg2Ru
_space_group_name_H-M_alt 'I 4/m m m'
_space_group_IT_number 139
_space_group_name_Hall '-I 4 2'
_cell_length_a 5.4087
_cell_length_b 5.4087
_cell_length_c 15.6691
_cell_angle_alpha 90.00
_cell_angle_beta 90.00
_cell_angle_gamma 90.00
loop_
_atom_site_label
_atom_site_type_symbol
_atom_site_fract_x
_atom_site_fract_y
_atom_site_fract_z
Pr1 Pr 0.0000 0.0000 0.1824
Pr2 Pr 0.0000 0.5000 0.0000
Hg1 Hg 0.0000 0.0000 0.3792
Ru1 Ru 0.0000 0.0000 0.0000
```


Best to worst by energy: <Q>, <P>, <R>.


<P>
VASP calculation (PBE-GGA) on a relaxed Pr3Hg2Ru crystal.

The structure in CIF format:
```
data_Pr3Hg2Ru
_space_group_name_H-M_alt 'C 1 2/m 1'
_space_group_IT_number 12
_cell_length_a 16.8214
_cell_length_b 5.4728
_cell_length_c 3.6360
_cell_angle_alpha 90.00
_cell_angle_beta 90.10
_cell_angle_gamma 90.00
loop_
_space_group_symop_operation_xyz
'x,y,z'
'-x,-y,-z'
'-x,y,-z'
'x,-y,z'
'x+1/2,y+1/2,z'
'-x+1/2,-y+1/2,-z'
'-x+1/2,y+1/2,-z'
'x+1/2,-y+1/2,z'
loop_
_atom_site_label
_atom_site_type_symbol
_atom_site_fract_x
_atom_site_fract_y
_atom_site_fract_z
Pr1 Pr 0.0000 0.0000 0.0000
Pr2 Pr 0.1368 0.5000 0.4998
Hg1 Hg 0.1950 0.0000 0.0001
Ru1 Ru 0.0000 0.5000 0.0000
```


<Q>
VASP calculation (PBE-GGA) on a relaxed Pr3Hg2Ru crystal.

The structure in CIF format:
```
data_Pr3Hg2Ru
_space_group_name_H-M_alt 'P 1 2/m 1'
_space_group_IT_number 10
_cell_length_a 5.2899
_cell_length_b 7.7321
_cell_length_c 8.2425
_cell_angle_alpha 90.00
_cell_angle_beta 108.62
_cell_angle_gamma 90.00
loop_
_space_group_symop_operation_xyz
'x,y,z'
'-x,-y,-z'
'-x,y,-z'
'x,-y,z'
loop_
_atom_site_label
_atom_site_type_symbol
_atom_site_fract_x
_atom_site_fract_y
_atom_site_fract_z
Pr1 Pr 0.0000 0.2333 0.0000
Pr2 Pr 0.3250 0.2253 0.6508
Hg1 Hg 0.1660 0.5000 0.3300
Hg2 Hg 0.5000 0.0000 0.0000
Hg3 Hg 0.5000 0.5000 0.0000
Ru1 Ru 0.1623 0.0000 0.3270
```


Best to worst by energy: <Q>, <P>.


<P>
VASP calculation (PBE-GGA) on a relaxed Pr4HgRu crystal.

The structure in CIF format:
```
data_Pr4HgRu
_space_group_name_H-M_alt 'F -4 3 m'
_space_group_IT_number 216
_space_group_name_Hall 'F -4 2 3'
_cell_length_a 14.0968
_cell_length_b 14.0968
_cell_length_c 14.0968
_cell_angle_alpha 90.00
_cell_angle_beta 90.00
_cell_angle_gamma 90.00
loop_
_atom_site_label
_atom_site_type_symbol
_atom_site_fract_x
_atom_site_fract_y
_atom_site_fract_z
Pr1 Pr 0.0000 0.0000 0.1897
Pr2 Pr 0.0588 0.2500 0.2500
Pr3 Pr 0.0973 0.0973 0.5973
Hg1 Hg 0.1671 0.1671 0.8329
Ru1 Ru 0.1121 0.1121 0.3879
```


<Q>
VASP calculation (PBE-GGA) on a relaxed Pr4HgRu crystal.

The structure in CIF format:
```
data_Pr4HgRu
_space_group_name_H-M_alt 'C 1 2/c 1'
_space_group_IT_number 15
_cell_length_a 9.0013
_cell_length_b 13.9570
_cell_length_c 6.3421
_cell_angle_alpha 90.00
_cell_angle_beta 114.77
_cell_angle_gamma 90.00
loop_
_space_group_symop_operation_xyz
'x,y,z'
'-x,-y,-z'
'-x,y,-z+1/2'
'x,-y,z+1/2'
'x+1/2,y+1/2,z'
'-x+1/2,-y+1/2,-z'
'-x+1/2,y+1/2,-z+1/2'
'x+1/2,-y+1/2,z+1/2'
loop_
_atom_site_label
_atom_site_type_symbol
_atom_site_fract_x
_atom_site_fract_y
_atom_site_fract_z
Pr1 Pr 0.1130 0.1791 0.0718
Pr2 Pr 0.2223 0.4298 0.3415
Hg1 Hg 0.0000 0.3766 0.7500
Ru1 Ru 0.0000 0.0009 0.2500
```


Best to worst by energy: <P>, <Q>.


<P>
VASP calculation (PBE-GGA) on a relaxed PrTmHgRu crystal.

The structure in CIF format:
```
data_PrTmHgRu
_space_group_name_H-M_alt 'P 4 m m'
_space_group_IT_number 99
_cell_length_a 3.5143
_cell_length_b 3.5143
_cell_length_c 7.6580
_cell_angle_alpha 90.00
_cell_angle_beta 90.00
_cell_angle_gamma 90.00
loop_
_space_group_symop_operation_xyz
'x,y,z'
'-y,x,z'
'-x,-y,z'
'y,-x,z'
'-x,y,z'
'y,x,z'
'x,-y,z'
'-y,-x,z'
loop_
_atom_site_label
_atom_site_type_symbol
_atom_site_fract_x
_atom_site_fract_y
_atom_site_fract_z
Pr1 Pr 0.0000 0.0000 0.0000
Tm1 Tm 0.0000 0.0000 0.5592
Hg1 Hg 0.5000 0.5000 0.3027
Ru1 Ru 0.5000 0.5000 0.7617
```


<Q>
VASP calculation (PBE-GGA) on a relaxed PrTmHgRu crystal.

The structure in CIF format:
```
data_PrTmHgRu
_space_group_name_H-M_alt 'F -4 3 m'
_space_group_IT_number 216
_space_group_name_Hall 'F -4 2 3'
_cell_length_a 7.2170
_cell_length_b 7.2170
_cell_length_c 7.2170
_cell_angle_alpha 90.00
_cell_angle_beta 90.00
_cell_angle_gamma 90.00
loop_
_atom_site_label
_atom_site_type_symbol
_atom_site_fract_x
_atom_site_fract_y
_atom_site_fract_z
Pr1 Pr 0.0000 0.0000 0.0000
Tm1 Tm 0.0000 0.0000 0.5000
Hg1 Hg 0.2500 0.2500 0.7500
Ru1 Ru 0.2500 0.2500 0.2500
```


Best to worst by energy: <P>, <Q>.


<P>
VASP calculation (PBE-GGA) on a relaxed PrYHgRu crystal.

The structure in CIF format:
```
data_PrYHgRu
_space_group_name_H-M_alt 'F -4 3 m'
_space_group_IT_number 216
_space_group_name_Hall 'F -4 2 3'
_cell_length_a 7.2684
_cell_length_b 7.2684
_cell_length_c 7.2684
_cell_angle_alpha 90.00
_cell_angle_beta 90.00
_cell_angle_gamma 90.00
loop_
_atom_site_label
_atom_site_type_symbol
_atom_site_fract_x
_atom_site_fract_y
_atom_site_fract_z
Pr1 Pr 0.0000 0.0000 0.0000
Y1 Y 0.0000 0.0000 0.5000
Hg1 Hg 0.2500 0.2500 0.7500
Ru1 Ru 0.2500 0.2500 0.2500
```


<Q>
VASP calculation (PBE-GGA) on a relaxed PrYHgRu crystal.

The structure in CIF format:
```
data_PrYHgRu
_space_group_name_H-M_alt 'P 4 m m'
_space_group_IT_number 99
_cell_length_a 3.5497
_cell_length_b 3.5497
_cell_length_c 7.6876
_cell_angle_alpha 90.00
_cell_angle_beta 90.00
_cell_angle_gamma 90.00
loop_
_space_group_symop_operation_xyz
'x,y,z'
'-y,x,z'
'-x,-y,z'
'y,-x,z'
'-x,y,z'
'y,x,z'
'x,-y,z'
'-y,-x,z'
loop_
_atom_site_label
_atom_site_type_symbol
_atom_site_fract_x
_atom_site_fract_y
_atom_site_fract_z
Pr1 Pr 0.0000 0.0000 0.0000
Y1 Y 0.0000 0.0000 0.5582
Hg1 Hg 0.5000 0.5000 0.2973
Ru1 Ru 0.5000 0.5000 0.7684
```


Best to worst by energy: <Q>, <P>.


<P>
VASP calculation (PBE-GGA) on a relaxed Pr2HgS crystal.

The structure in CIF format:
```
data_Pr2HgS
_space_group_name_H-M_alt 'R 3 m'
_space_group_IT_number 160
_space_group_name_Hall 'R 3 -2"'
_cell_length_a 4.0466
_cell_length_b 4.0466
_cell_length_c 23.8563
_cell_angle_alpha 90.00
_cell_angle_beta 90.00
_cell_angle_gamma 120.00
loop_
_atom_site_label
_atom_site_type_symbol
_atom_site_fract_x
_atom_site_fract_y
_atom_site_fract_z
Pr1 Pr 0.0000 0.0000 0.0000
Pr2 Pr 0.0000 0.0000 0.1939
Hg1 Hg 0.0000 0.0000 0.4305
S1 S 0.0000 0.0000 0.5989
```


<Q>
VASP calculation (PBE-GGA) on a relaxed Pr2HgS crystal.

The structure in CIF format:
```
data_Pr2HgS
_space_group_name_H-M_alt 'R -3 m'
_space_group_IT_number 166
_space_group_name_Hall '-R 3 2"'
_cell_length_a 4.1175
_cell_length_b 4.1175
_cell_length_c 22.9990
_cell_angle_alpha 90.00
_cell_angle_beta 90.00
_cell_angle_gamma 120.00
loop_
_atom_site_label
_atom_site_type_symbol
_atom_site_fract_x
_atom_site_fract_y
_atom_site_fract_z
Pr1 Pr 0.0000 0.0000 0.2381
Hg1 Hg 0.0000 0.0000 0.0000
S1 S 0.0000 0.0000 0.5000
```


Best to worst by energy: <Q>, <P>.


<P>
VASP calculation (PBE-GGA) on a relaxed Pr3HgS crystal.

The structure in CIF format:
```
data_Pr3HgS
_space_group_name_H-M_alt 'P n m a'
_space_group_IT_number 62
_cell_length_a 9.3393
_cell_length_b 4.0565
_cell_length_c 15.7945
_cell_angle_alpha 90.00
_cell_angle_beta 90.00
_cell_angle_gamma 90.00
loop_
_space_group_symop_operation_xyz
'x,y,z'
'-x,-y,-z'
'-x+1/2,-y,z+1/2'
'x+1/2,y,-z+1/2'
'x+1/2,-y+1/2,-z+1/2'
'-x+1/2,y+1/2,z+1/2'
'-x,y+1/2,-z'
'x,-y+1/2,z'
loop_
_atom_site_label
_atom_site_type_symbol
_atom_site_fract_x
_atom_site_fract_y
_atom_site_fract_z
Pr1 Pr 0.0149 0.2500 0.1061
Pr2 Pr 0.1623 0.2500 0.5322
Pr3 Pr 0.1688 0.7500 0.2988
Hg1 Hg 0.1139 0.7500 0.6924
S1 S 0.1753 0.2500 0.9517
```


<Q>
VASP calculation (PBE-GGA) on a relaxed Pr3HgS crystal.

The structure in CIF format:
```
data_Pr3HgS
_space_group_name_H-M_alt 'P m -3 m'
_space_group_IT_number 221
_space_group_name_Hall '-P 4 2 3'
_cell_length_a 5.4315
_cell_length_b 5.4315
_cell_length_c 5.4315
_cell_angle_alpha 90.00
_cell_angle_beta 90.00
_cell_angle_gamma 90.00
loop_
_atom_site_label
_atom_site_type_symbol
_atom_site_fract_x
_atom_site_fract_y
_atom_site_fract_z
Pr1 Pr 0.0000 0.0000 0.5000
Hg1 Hg 0.5000 0.5000 0.5000
S1 S 0.0000 0.0000 0.0000
```


Best to worst by energy: <P>, <Q>.